# 1
An optimized crystal structure of NdCu2Ni2, computed with PBE.

Values from the calculation:
Symmetry   No. 139

Unit cell a=10.581 b=10.581 c=10.581 alpha=158.45 beta=158.45 gamma=30.67
Fractional positions:
Nd (0.126, 0.126, 0.000)
Nd (0.874, 0.874, 0.000)
Cu (0.000, 0.500, 0.500)
Cu (0.317, 0.317, 0.000)
Cu (0.500, 0.000, 0.500)
Cu (0.683, 0.683, 0.000)
Ni (0.250, 0.750, 0.500)
Ni (0.433, 0.433, 0.000)
Ni (0.567, 0.567, 0.000)
Ni (0.750, 0.250, 0.500)


# 2
An optimized crystal structure of Dy4TlAg2Pd, computed with PBE.

Values from the calculation:
Symmetry   No. 166

Unit cell a=8.901 b=8.901 c=8.901 alpha=33.69 beta=33.69 gamma=33.69
Fractional positions:
Dy (0.118, 0.118, 0.118)
Dy (0.369, 0.369, 0.369)
Dy (0.631, 0.631, 0.631)
Dy (0.882, 0.882, 0.882)
Tl (0.500, 0.500, 0.500)
Ag (0.244, 0.244, 0.244)
Ag (0.756, 0.756, 0.756)
Pd (0.000, 0.000, 0.000)


Q: Which E_form values were calculated for the entries above? A: -0.1530 -0.4715, in eV/atom.
Q: Which total energy values were calculated for the entries above? A: -5.058 -4.430, in eV per atom.